Material: PmHo2InAu4
Method: DFT, PBE
State: relaxed

a b c (Å): 5.0332 5.0332 25.1252
angles (deg): 90.00 90.00 120.00
Closest atoms and distances in Å follow each position.
Space group R-3m (No. 166, hexagonal axes)
Asymmetric unit:
1 Pm 0.0000 0.0000 0.0000 [3 per cell]  8 Au 3.02-3.04
2 Ho 0.0000 0.0000 0.2418 [6 per cell]  8 Au 2.99-3.22
3 In 0.0000 0.0000 0.5000 [3 per cell]  8 Au 3.13-3.28, 6 Ho 3.47
4 Au 0.0000 0.0000 0.1204 [6 per cell]  4 Ho 2.99-3.05, 1 Pm 3.02, 3 In 3.13
5 Au 0.0000 0.0000 0.3694 [6 per cell]  3 Pm 3.04, 4 Ho 3.21-3.22, 1 In 3.28

E	-4.48	eV per atom
formation energy from the elements	-0.757	eV per atom

***

Material: PrYHoEr
Method: DFT, PBE
State: relaxed

a b c (Å): 12.4305 5.8633 3.7741
angles (deg): 90.00 107.61 90.00
Closest atoms and distances in Å follow each position.
Space group Cm (No. 8)
Asymmetric unit:
1 Pr 0.0000 0.0000 0.0000 [2 per cell]  4 Ho 3.48-3.49, 2 Er 3.54-3.56, 2 Y 3.64-3.66, 2 Pr 3.77
2 Y 0.2363 0.5000 0.2409 [2 per cell]  2 Ho 3.45-3.46, 4 Er 3.49, 2 Pr 3.64-3.66, 2 Y 3.77
3 Ho 0.4920 0.0000 0.4943 [2 per cell]  2 Er 3.39-3.40, 2 Y 3.45-3.46, 4 Pr 3.48-3.49, 2 Ho 3.77
4 Er 0.2538 0.0000 0.7576 [2 per cell]  2 Ho 3.39-3.40, 4 Y 3.49, 2 Pr 3.54-3.56, 2 Er 3.77

E	-4.98	eV per atom
polymorph energy (0 for the lowest one)	0	meV/atom
formation energy from the elements	0.118	eV per atom

***

Material: Th3GeSb
Method: DFT, PBE
State: relaxed

a b c (Å): 7.3759 7.3801 8.2411
angles (deg): 90.06 116.52 119.97
Closest atoms and distances in Å follow each position.
Space group P-1 (No. 2)
Asymmetric unit:
1 Th 0.0127 0.1041 0.2727 [2 per cell]  2 Ge 2.92-2.99, 2 Sb 3.14-3.17
2 Th 0.3319 0.5919 0.7274 [2 per cell]  2 Ge 2.92-2.99, 2 Sb 3.14-3.17
3 Th 0.3649 0.7608 0.2722 [2 per cell]  2 Ge 2.92-2.99, 2 Sb 3.14-3.17
4 Ge 0.1598 0.8296 0.4897 [2 per cell]  6 Th 2.92-2.99
5 Sb 0.1602 0.3301 0.9904 [2 per cell]  6 Th 3.14-3.17, 1 Ge 3.39

E	-6.60	eV per atom